Entry 1:
VASP calculation (GGA-PBE) on crystalline Re2SiCl at its relaxed geometry.

Cell lengths 4.0304, 2.8447, 5.9021 Å; angles 64.93, 90.00, 90.00 degrees
Closest atoms and distances in Å follow each position.
Element x y z (fractional)
Si1 0.0000 0.5451 0.4575  5 Re 2.44-2.73
Cl1 0.5000 0.8014 0.8002  3 Re 2.41-2.43
Re1 0.0000 0.9155 0.0007  2 Cl 2.43, 1 Si 2.44
Re2 0.5000 0.2380 0.2416  1 Cl 2.41

Summary:
Energy above the lowest structure with this stoichiometry   245 meV/atom
Magnetization   0.00 μB per atom


Entry 2:
VASP calculation (GGA-PBE) on crystalline CsSiTc2Pd at its relaxed geometry.

Cell lengths 5.0675, 4.5229, 5.0675 Å; angles 90.00, 90.00, 90.00 degrees
Closest atoms and distances in Å follow each position.
Element x y z (fractional)
Cs1 0.5000 0.5000 0.5000  8 Tc 3.40, 4 Si 3.58
Tc1 0.5000 0.0000 0.0000  2 Pd 2.53
Tc2 0.0000 0.0000 0.5000  2 Pd 2.53
Si1 0.0000 0.5000 0.0000  2 Pd 2.26
Pd1 0.0000 0.0000 0.0000  2 Si 2.26

Summary:
Magnetization   1.24 μB per atom


Entry 3:
VASP calculation (GGA-PBE) on crystalline Bi2RhBr at its relaxed geometry.

Cell lengths 3.8968, 3.8968, 8.4239 Å; angles 76.63, 76.63, 60.00 degrees
Closest atoms and distances in Å follow each position.
Element x y z (fractional)
Rh1 0.0000 0.0000 0.0000  6 Bi 2.77
Br1 0.5000 0.5000 0.5000  6 Bi 3.32
Bi1 0.2670 0.2670 0.1989  3 Rh 2.77
Bi2 0.7330 0.7330 0.8011  3 Rh 2.77

Summary:
Energy above the lowest structure with this stoichiometry   0 meV/atom
Magnetization   0.00 μB per atom


Let's list formation energy (no corrections) in order: 0.51; 1.55; -0.25 eV/atom.